A plane-wave DFT calculation with PBE was carried out for crystalline PrSmAgSe3 at its relaxed geometry.

For the spin magnetization, the calculation gives 0.0054 μB per atom. Its uncorrected energy is -5.166 eV per atom.

```
data_PrSmAgSe3
_cell_length_a 4.053
_cell_length_b 13.876
_cell_length_c 10.933
_cell_angle_alpha 90.00
_cell_angle_beta 90.00
_cell_angle_gamma 90.00
_symmetry_space_group_name_H-M 'C m c m'
_symmetry_Int_Tables_number 63
_symmetry_space_group_name_Hall '-C 2c 2'
loop_
_atom_site_label
_atom_site_fract_x
_atom_site_fract_y
_atom_site_fract_z
_atom_site_occupancy
Pr1 0.000 0.000 0.000 1
Sm1 0.000 0.226 0.250 1
Ag1 0.000 0.481 0.750 1
Se1 0.000 0.110 0.750 1
Se2 0.000 0.350 0.573 1
```